# 1
Compound: Pr3GaIr
Source: the Alexandria database
Functional: PBE
Structure: relaxed

a = 7.194 Å, b = 7.194 Å, c = 7.946 Å
α = 63.08°, β = 63.08°, γ = 60.00°
Positions (direct):
Pr 0.635 0.873 0.223
Pr 0.127 0.731 0.777
Pr 0.873 0.269 0.223
Pr 0.731 0.365 0.777
Pr 0.269 0.635 0.223
Pr 0.365 0.127 0.777
Ga 0.817 0.817 0.548
Ga 0.183 0.183 0.452
Ir 0.310 0.310 0.069
Ir 0.690 0.690 0.931

Results
Polymorph energy (0 for the lowest one) = 28 meV/atom
Energy of formation from the pure elements = -0.42 eV/atom
Total magnetic moment = 0.00 Bohr magnetons per cell

---

# 2
Compound: PrGaIr
Source: the Alexandria database
Functional: PBE
Structure: relaxed

a = 4.027 Å, b = 4.361 Å, c = 4.361 Å
α = 120.00°, β = 90.00°, γ = 90.00°
Positions (direct):
Ir 0.167 0.000 0.000
Ga 0.167 0.667 0.333
Pr 0.667 0.333 0.667

Results
Energy of formation from the pure elements = -0.68 eV/atom
Total magnetic moment = 0.00 Bohr magnetons per cell

---

# 3
Compound: Pr2Ga7Ir
Source: the Alexandria database
Functional: PBE
Structure: relaxed

a = 4.269 Å, b = 4.269 Å, c = 10.850 Å
α = 90.00°, β = 90.00°, γ = 90.00°
Positions (direct):
Ga 0.500 0.500 0.500
Ga 0.000 0.000 0.500
Ga 0.000 0.500 0.640
Ga 0.000 0.500 0.872
Ga 0.500 0.000 0.360
Ga 0.500 0.000 0.128
Ga 0.000 0.000 0.000
Pr 0.500 0.000 0.756
Pr 0.000 0.500 0.244
Ir 0.500 0.500 0.000

Results
Energy of formation from the pure elements = -0.52 eV/atom
Total magnetic moment = 0.00 Bohr magnetons per cell

---

# 4
Compound: Pr7Ga2Ir2
Source: the Alexandria database
Functional: PBE
Structure: relaxed

a = 6.993 Å, b = 7.189 Å, c = 6.993 Å
α = 90.00°, β = 108.09°, γ = 90.00°
Positions (direct):
Pr 0.000 0.261 0.500
Pr 0.500 0.258 0.500
Pr 0.500 0.261 0.000
Pr 0.500 0.739 0.000
Pr 0.000 0.000 0.000
Pr 0.000 0.739 0.500
Pr 0.500 0.742 0.500
Ga 0.159 0.500 0.159
Ga 0.841 0.500 0.841
Ir 0.706 0.000 0.294
Ir 0.294 0.000 0.706

Results
Energy of formation from the pure elements = -0.38 eV/atom
Total magnetic moment = 0.00 Bohr magnetons per cell

---

# 5
Compound: Pr4GaIr
Source: the Alexandria database
Functional: PBE
Structure: relaxed

a = 9.918 Å, b = 9.918 Å, c = 9.918 Å
α = 60.00°, β = 60.00°, γ = 60.00°
Positions (direct):
Ir 0.175 0.608 0.608
Ir 0.608 0.608 0.608
Ir 0.608 0.608 0.175
Ir 0.608 0.175 0.608
Pr 0.811 0.189 0.189
Pr 0.189 0.811 0.811
Pr 0.946 0.554 0.554
Pr 0.811 0.811 0.189
Pr 0.554 0.946 0.946
Pr 0.554 0.946 0.554
Pr 0.189 0.189 0.811
Pr 0.554 0.554 0.946
Pr 0.946 0.946 0.554
Pr 0.805 0.398 0.398
Pr 0.398 0.398 0.805
Pr 0.811 0.189 0.811
Pr 0.398 0.398 0.398
Pr 0.398 0.805 0.398
Pr 0.946 0.554 0.946
Pr 0.189 0.811 0.189
Ga 0.171 0.171 0.171
Ga 0.171 0.486 0.171
Ga 0.171 0.171 0.486
Ga 0.486 0.171 0.171

Results
Polymorph energy (0 for the lowest one) = 0 meV/atom
Energy of formation from the pure elements = -0.45 eV/atom
Total magnetic moment = 0.00 Bohr magnetons per cell

---

# 6
Compound: Pr6Ga3Ir
Source: the Alexandria database
Functional: PBE
Structure: relaxed

a = 5.256 Å, b = 8.991 Å, c = 11.943 Å
α = 90.00°, β = 90.00°, γ = 90.00°
Positions (direct):
Pr 0.500 0.157 0.915
Pr 0.500 0.181 0.575
Pr 0.000 0.681 0.925
Pr 0.000 0.343 0.415
Pr 0.999 0.995 0.248
Pr 0.499 0.505 0.748
Pr 0.000 0.657 0.585
Pr 0.000 0.319 0.075
Pr 0.001 0.005 0.752
Pr 0.501 0.495 0.252
Pr 0.500 0.843 0.085
Pr 0.500 0.819 0.425
Ga 0.001 0.659 0.231
Ga 0.999 0.341 0.769
Ga 0.500 0.500 0.000
Ga 0.499 0.159 0.269
Ga 0.501 0.841 0.731
Ga 0.000 0.000 0.500
Ir 0.500 0.500 0.500
Ir 0.000 0.000 0.000

Results
Energy of formation from the pure elements = -0.42 eV/atom
Total magnetic moment = 0.00 Bohr magnetons per cell

---

# 7
Compound: Pr3Ga4Ir2
Source: the Alexandria database
Functional: PBE
Structure: relaxed

a = 4.305 Å, b = 6.049 Å, c = 8.731 Å
α = 108.19°, β = 90.00°, γ = 110.85°
Positions (direct):
Pr 0.318 0.635 0.357
Pr 0.000 0.000 0.000
Pr 0.682 0.365 0.643
Ir 0.393 0.787 0.729
Ir 0.607 0.213 0.271
Ga 0.030 0.059 0.364
Ga 0.970 0.941 0.636
Ga 0.732 0.464 0.072
Ga 0.268 0.536 0.928

Results
Polymorph energy (0 for the lowest one) = 0 meV/atom
Energy of formation from the pure elements = -0.68 eV/atom
Total magnetic moment = 0.00 Bohr magnetons per cell

---

# 8
Compound: Pr2Ga8Ir
Source: the Alexandria database
Functional: PBE
Structure: relaxed

a = 4.404 Å, b = 4.404 Å, c = 11.468 Å
α = 90.00°, β = 90.00°, γ = 90.00°
Positions (direct):
Ga 0.500 0.000 0.117
Ga 0.500 0.500 0.695
Ga 0.000 0.500 0.883
Ga 0.500 0.500 0.305
Ga 0.000 0.500 0.500
Ga 0.000 0.500 0.117
Ga 0.500 0.000 0.883
Ga 0.500 0.000 0.500
Ir 0.000 0.000 0.000
Pr 0.000 0.000 0.305
Pr 0.000 0.000 0.695

Results
Energy of formation from the pure elements = -0.53 eV/atom
Total magnetic moment = 0.00 Bohr magnetons per cell

---

# 9
Compound: PrGa6Ir4
Source: the Alexandria database
Functional: PBE
Structure: relaxed

a = 3.920 Å, b = 7.453 Å, c = 7.453 Å
α = 120.00°, β = 90.00°, γ = 90.00°
Positions (direct):
Ga 0.500 0.194 0.806
Ga 0.500 0.612 0.806
Ga 0.000 0.532 0.468
Ga 0.000 0.937 0.468
Ga 0.000 0.532 0.063
Ga 0.500 0.194 0.388
Ir 0.000 0.333 0.667
Ir 0.500 0.796 0.592
Ir 0.500 0.796 0.204
Ir 0.500 0.408 0.204
Pr 0.000 0.000 0.000

Results
Energy of formation from the pure elements = -0.55 eV/atom
Total magnetic moment = 0.00 Bohr magnetons per cell

---

# 10
Compound: Pr8GaIr2
Source: the Alexandria database
Functional: PBE
Structure: relaxed

a = 6.091 Å, b = 7.892 Å, c = 7.892 Å
α = 112.73°, β = 97.22°, γ = 97.22°
Positions (direct):
Ir 0.496 0.314 0.688
Ir 0.496 0.688 0.314
Pr 0.990 0.235 0.761
Pr 0.369 0.664 0.932
Pr 0.203 0.382 0.382
Pr 0.794 0.645 0.645
Pr 0.597 0.333 0.069
Pr 0.597 0.069 0.333
Pr 0.990 0.761 0.235
Pr 0.369 0.932 0.664
Ga 0.098 0.010 0.010

Results
Energy of formation from the pure elements = -0.29 eV/atom
Total magnetic moment = 0.00 Bohr magnetons per cell

---

# 11
Compound: Pr2Ga9Ir6
Source: the Alexandria database
Functional: PBE
Structure: relaxed

a = 5.556 Å, b = 5.556 Å, c = 12.146 Å
α = 90.00°, β = 90.00°, γ = 120.00°
Positions (direct):
Ga 0.500 0.000 0.160
Ga 0.000 0.500 0.840
Ga 0.500 0.000 0.840
Ga 0.500 0.500 0.840
Ga 0.500 0.500 0.500
Ga 0.000 0.500 0.500
Ga 0.500 0.000 0.500
Ga 0.000 0.500 0.160
Ga 0.500 0.500 0.160
Ir 0.333 0.667 0.327
Ir 0.333 0.667 0.000
Ir 0.333 0.667 0.673
Ir 0.667 0.333 0.673
Ir 0.667 0.333 0.000
Ir 0.667 0.333 0.327
Pr 0.000 0.000 0.336
Pr 0.000 0.000 0.664

Results
Energy of formation from the pure elements = -0.39 eV/atom
Total magnetic moment = 0.00 Bohr magnetons per cell

---

# 12
Compound: Pr5Ga5Ir2
Source: the Alexandria database
Functional: PBE
Structure: relaxed

a = 4.465 Å, b = 8.017 Å, c = 8.889 Å
α = 88.32°, β = 75.45°, γ = 73.83°
Positions (direct):
Pr 0.307 0.310 0.076
Pr 0.693 0.690 0.924
Pr 0.000 0.500 0.500
Pr 0.632 0.070 0.666
Pr 0.368 0.930 0.334
Ir 0.609 0.546 0.236
Ir 0.391 0.454 0.764
Ga 0.718 0.231 0.332
Ga 0.000 0.000 0.000
Ga 0.282 0.769 0.668
Ga 0.945 0.297 0.813
Ga 0.055 0.703 0.187

Results
Energy of formation from the pure elements = -0.60 eV/atom
Total magnetic moment = 0.00 Bohr magnetons per cell

---

no.,E (eV per atom)
1,-5.67
2,-6.23
3,-4.48
4,-5.59
5,-5.62
6,-5.08
7,-5.59
8,-4.41
9,-5.86
10,-5.65
11,-5.69
12,-5.33